The following is a PBE calculation of an optimized crystal structure of Nb4AuN, from the Alexandria database.

Lattice parameters (Å, degrees): 7.6939 4.7961 6.3211 90.00 111.88 90.00
Closest atoms and distances in Å follow each position.
Space group P2_1/c (No. 14)
Inequivalent atoms, fractional coordinates:
Nb 0.1280 0.2404 0.3105 x4  2 N 2.17-2.20
Nb 0.2291 0.7215 0.1033 x4  1 N 2.11
Au 0.5000 0.0000 0.0000 x2  6 Nb 2.75-2.94
N 0.0000 0.0000 0.0000 x2  6 Nb 2.11-2.20

Results
- D(E_F): 5.351 states/eV/f.u.
- Raw formation energy: -1.0 eV per formula unit